Entry 1:
Computed, not measured: crystalline TeMo5 at its relaxed geometry at the PBE-GGA level of DFT.

The structure in POSCAR format:
```
TeMo5
1.0
0.000 3.731 3.731
3.731 0.000 3.731
3.731 3.731 0.000
Te Mo
1 5
Direct
0.000 0.000 0.000
0.250 0.250 0.250
0.626 0.626 0.626
0.123 0.626 0.626
0.626 0.123 0.626
0.626 0.626 0.123
```

Uncorrected formation energy in eV per atom: 0.534
Raw total energy in eV/cell: -54.09
V in A^3/atom: 17.32
Size of the total moment in μB per cell: 0.00

Entry 2:
Computed, not measured: crystalline Te5Mo at its relaxed geometry at the PBE-GGA level of DFT.

The structure in POSCAR format:
```
Te5Mo
1.0
4.088 -7.080 0.000
4.088 7.080 0.000
0.000 0.000 3.303
Te Mo
5 1
Direct
0.736 0.000 0.000
0.264 0.264 0.000
0.000 0.736 0.000
0.667 0.333 0.500
0.333 0.667 0.500
0.000 0.000 0.500
```

Uncorrected formation energy in eV per atom: 0.221
Raw total energy in eV/cell: -25.21
V in A^3/atom: 31.87
Size of the total moment in μB per cell: 0.00

Entry 3:
Computed, not measured: crystalline Te5Mo2 at its relaxed geometry at the PBE-GGA level of DFT.

The structure in POSCAR format:
```
Te5Mo2
1.0
-2.393 -2.659 0.607
-0.740 -3.287 -6.473
5.935 -7.404 1.806
Te Mo
5 2
Direct
0.478 0.235 0.809
0.522 0.765 0.191
0.000 0.000 0.000
0.805 0.744 0.646
0.195 0.256 0.354
0.668 0.116 0.547
0.332 0.884 0.453
```

Uncorrected formation energy in eV per atom: 0.111
Raw total energy in eV/cell: -36.60
V in A^3/atom: 34.67
Size of the total moment in μB per cell: 0.00

Entry 4:
Computed, not measured: crystalline TeMo at its relaxed geometry at the PBE-GGA level of DFT.

The structure in POSCAR format:
```
TeMo
1.0
-2.129 4.872 1.938
-1.020 -5.561 0.233
2.349 -0.292 3.314
Mo Te
2 2
Direct
0.574 0.426 0.750
0.426 0.574 0.250
0.851 0.149 0.750
0.149 0.851 0.250
```

Uncorrected formation energy in eV per atom: 0.340
Raw total energy in eV/cell: -26.59
V in A^3/atom: 21.03
Size of the total moment in μB per cell: 0.00

Entry 5:
Computed, not measured: crystalline TeMo at its relaxed geometry at the PBE-GGA level of DFT.

The structure in POSCAR format:
```
TeMo
1.0
-2.496 7.414 -2.760
-5.459 -3.708 -5.025
-5.725 0.305 5.995
Te Mo
8 8
Direct
0.306 0.306 0.306
0.306 0.694 0.694
0.694 0.306 0.694
0.694 0.694 0.306
0.806 0.806 0.806
0.806 0.194 0.194
0.194 0.806 0.194
0.194 0.194 0.806
0.115 0.115 0.115
0.115 0.885 0.885
0.885 0.115 0.885
0.885 0.885 0.115
0.615 0.615 0.615
0.615 0.385 0.385
0.385 0.615 0.385
0.385 0.385 0.615
```

Uncorrected formation energy in eV per atom: 0.366
Raw total energy in eV/cell: -105.93
V in A^3/atom: 35.68
Size of the total moment in μB per cell: 8.22

Entry 6:
Computed, not measured: crystalline TeMo at its relaxed geometry at the PBE-GGA level of DFT.

The structure in POSCAR format:
```
TeMo
1.0
-3.264 2.025 -2.794
-1.353 -2.522 3.791
0.180 4.624 3.140
Te Mo
2 2
Direct
0.333 0.667 0.750
0.667 0.333 0.250
0.333 0.667 0.250
0.667 0.333 0.750
```

Uncorrected formation energy in eV per atom: 0.862
Raw total energy in eV/cell: -24.50
V in A^3/atom: 27.32
Size of the total moment in μB per cell: 4.56

Entry 7:
Computed, not measured: crystalline TeMo at its relaxed geometry at the PBE-GGA level of DFT.

The structure in POSCAR format:
```
TeMo
1.0
-1.497 -3.242 2.868
0.672 -4.470 0.739
1.708 -2.690 3.290
Mo Te
1 1
Direct
0.000 0.000 0.000
0.500 0.500 0.500
```

Uncorrected formation energy in eV per atom: 0.436
Raw total energy in eV/cell: -13.10
V in A^3/atom: 19.41
Size of the total moment in μB per cell: 0.02

Entry 8:
Computed, not measured: crystalline TeMo at its relaxed geometry at the PBE-GGA level of DFT.

The structure in POSCAR format:
```
TeMo
1.0
0.014 -3.844 3.472
2.763 -1.777 4.005
-3.209 2.490 6.892
Te Mo
3 3
Direct
0.406 0.406 0.243
0.962 0.962 0.596
0.205 0.205 0.957
0.927 0.927 0.955
0.663 0.663 0.696
0.669 0.669 0.386
```

Uncorrected formation energy in eV per atom: 0.243
Raw total energy in eV/cell: -40.46
V in A^3/atom: 21.06
Size of the total moment in μB per cell: 0.00